(1)
DFT (GGA-PBE) results for Tb2HoGa2 after structural relaxation.

ρ ... 7.91 g/cm³
Crystal system ... monoclinic
Calculated formation energy ... -368.2 meV/atom

```
data_Tb2HoGa2
_chemical_formula_sum 'Tb4 Ho2 Ga4'
_space_group_name_H-M_alt 'C 1 2/m 1'
_space_group_IT_number 12
_cell_length_a 12.5695
_cell_length_b 3.5932
_cell_length_c 5.9233
_cell_angle_alpha 90.00
_cell_angle_beta 102.41
_cell_angle_gamma 90.00
loop_
_space_group_symop_operation_xyz
'x,y,z'
'-x,-y,-z'
'-x,y,-z'
'x,-y,z'
'x+1/2,y+1/2,z'
'-x+1/2,-y+1/2,-z'
'-x+1/2,y+1/2,-z'
'x+1/2,-y+1/2,z'
loop_
_atom_site_label
_atom_site_fract_x
_atom_site_fract_y
_atom_site_fract_z
Tb1 0.1359 0.0000 0.0705
Ho1 0.0000 0.5000 0.5000
Ga1 0.2003 0.0000 0.6125
```



(2)
DFT (GGA-PBE) results for Tb2PmMg8 after structural relaxation.

ρ ... 3.73 g/cm³
Crystal system ... orthorhombic
Calculated formation energy ... 45.9 meV/atom

```
data_Tb2PmMg8
_chemical_formula_sum 'Tb4 Pm2 Mg16'
_space_group_name_H-M_alt 'I m m m'
_space_group_IT_number 71
_space_group_name_Hall '-I 2 2'
_cell_length_a 5.2326
_cell_length_b 7.4051
_cell_length_c 15.0920
_cell_angle_alpha 90.00
_cell_angle_beta 90.00
_cell_angle_gamma 90.00
loop_
_atom_site_label
_atom_site_fract_x
_atom_site_fract_y
_atom_site_fract_z
Tb1 0.0000 0.0000 0.1998
Pm1 0.0000 0.0000 0.5000
Mg1 0.0000 0.2103 0.0000
Mg2 0.0000 0.2930 0.3556
Mg3 0.0000 0.5000 0.1599
```



(3)
DFT (GGA-PBE) results for CeEr5Pt4 after structural relaxation.

ρ ... 10.88 g/cm³
Crystal system ... monoclinic
Calculated formation energy ... -994.5 meV/atom

```
data_CeEr5Pt4
_chemical_formula_sum 'Ce2 Er10 Pt8'
_space_group_name_H-M_alt 'C 1 2/m 1'
_space_group_IT_number 12
_cell_length_a 18.6144
_cell_length_b 4.1459
_cell_length_c 7.6134
_cell_angle_alpha 90.00
_cell_angle_beta 114.10
_cell_angle_gamma 90.00
loop_
_space_group_symop_operation_xyz
'x,y,z'
'-x,-y,-z'
'-x,y,-z'
'x,-y,z'
'x+1/2,y+1/2,z'
'-x+1/2,-y+1/2,-z'
'-x+1/2,y+1/2,-z'
'x+1/2,-y+1/2,z'
loop_
_atom_site_label
_atom_site_fract_x
_atom_site_fract_y
_atom_site_fract_z
Ce1 0.0000 0.0000 0.0000
Er1 0.0000 0.0000 0.5000
Er2 0.1655 0.5000 0.4076
Er3 0.1655 0.5000 0.9235
Pt1 0.0000 0.5000 0.2571
Pt2 0.2062 0.0000 0.2061
```